VASP calculation (PBE-GGA) on Zr2CdSi after structural relaxation.

Values from the calculation:
E_tot   -6.15 eV/atom
DOS(E_F)   0.68 states/eV/atom

The structure in CIF format:
```
data_Zr2CdSi
_cell_length_a 5.1672
_cell_length_b 5.1672
_cell_length_c 5.1672
_cell_angle_alpha 132.52
_cell_angle_beta 126.90
_cell_angle_gamma 73.97
_symmetry_space_group_name_H-M 'P 1'
_symmetry_Int_Tables_number 1
loop_
_symmetry_equiv_pos_as_xyz
'x,y,z'
loop_
_atom_site_label
_atom_site_type_symbol
_atom_site_fract_x
_atom_site_fract_y
_atom_site_fract_z
_atom_site_occupancy
Cd1 Cd 0.2500 0.7500 0.5000 1
Si1 Si 0.7500 0.2500 0.5000 1
Zr1 Zr 0.9875 0.9875 0.0000 1
Zr2 Zr 0.5125 0.5125 0.0000 1
```

=====

VASP calculation (PBE-GGA) on Zr2CdSi after structural relaxation.

Values from the calculation:
E_tot   -5.98 eV/atom
DOS(E_F)   0.92 states/eV/atom

The structure in CIF format:
```
data_Zr2CdSi
_cell_length_a 9.8778
_cell_length_b 9.8778
_cell_length_c 9.8778
_cell_angle_alpha 18.22
_cell_angle_beta 18.22
_cell_angle_gamma 18.22
_symmetry_space_group_name_H-M 'P 1'
_symmetry_Int_Tables_number 1
loop_
_symmetry_equiv_pos_as_xyz
'x,y,z'
loop_
_atom_site_label
_atom_site_type_symbol
_atom_site_fract_x
_atom_site_fract_y
_atom_site_fract_z
_atom_site_occupancy
Cd1 Cd 0.2500 0.2500 0.2500 1
Si1 Si 0.7500 0.7500 0.7500 1
Zr1 Zr 0.0063 0.0063 0.0063 1
Zr2 Zr 0.4937 0.4937 0.4937 1
```

=====

VASP calculation (PBE-GGA) on Zr2CdSi after structural relaxation.

Values from the calculation:
E_tot   -6.10 eV/atom
DOS(E_F)   0.54 states/eV/atom

The structure in CIF format:
```
data_Zr2CdSi
_cell_length_a 5.6148
_cell_length_b 5.6148
_cell_length_c 4.3101
_cell_angle_alpha 67.45
_cell_angle_beta 67.45
_cell_angle_gamma 40.30
_symmetry_space_group_name_H-M 'P 1'
_symmetry_Int_Tables_number 1
loop_
_symmetry_equiv_pos_as_xyz
'x,y,z'
loop_
_atom_site_label
_atom_site_type_symbol
_atom_site_fract_x
_atom_site_fract_y
_atom_site_fract_z
_atom_site_occupancy
Cd1 Cd 0.4857 0.4857 0.5144 1
Si1 Si 0.7565 0.7565 0.7434 1
Zr1 Zr 0.0092 0.0092 0.9909 1
Zr2 Zr 0.2486 0.2486 0.2512 1
```

=====

VASP calculation (PBE-GGA) on Zr2Cd2Si after structural relaxation.

Values from the calculation:
E_tot   -4.92 eV/atom
DOS(E_F)   0.98 states/eV/atom

The structure in CIF format:
```
data_Zr2Cd2Si
_cell_length_a 6.9715
_cell_length_b 6.9715
_cell_length_c 4.7150
_cell_angle_alpha 90.00
_cell_angle_beta 90.00
_cell_angle_gamma 90.00
_symmetry_space_group_name_H-M 'P 1'
_symmetry_Int_Tables_number 1
loop_
_symmetry_equiv_pos_as_xyz
'x,y,z'
loop_
_atom_site_label
_atom_site_type_symbol
_atom_site_fract_x
_atom_site_fract_y
_atom_site_fract_z
_atom_site_occupancy
Si1 Si 0.0000 0.0000 0.0000 1
Si2 Si 0.5000 0.5000 0.0000 1
Zr1 Zr 0.3428 0.8428 0.0000 1
Zr2 Zr 0.8428 0.6572 0.0000 1
Zr3 Zr 0.6572 0.1572 0.0000 1
Zr4 Zr 0.1572 0.3428 0.0000 1
Cd1 Cd 0.1493 0.6493 0.5000 1
Cd2 Cd 0.6493 0.8507 0.5000 1
Cd3 Cd 0.8507 0.3507 0.5000 1
Cd4 Cd 0.3507 0.1493 0.5000 1
```

=====

VASP calculation (PBE-GGA) on Zr3CdSi after structural relaxation.

Values from the calculation:
Offset from the most stable computed form   0.00 eV per formula unit
DOS(E_F)   0.59 states/eV/atom

The structure in CIF format:
```
data_Zr3CdSi
_cell_length_a 4.9676
_cell_length_b 4.9676
_cell_length_c 4.9676
_cell_angle_alpha 90.00
_cell_angle_beta 90.00
_cell_angle_gamma 90.00
_symmetry_space_group_name_H-M 'P 1'
_symmetry_Int_Tables_number 1
loop_
_symmetry_equiv_pos_as_xyz
'x,y,z'
loop_
_atom_site_label
_atom_site_type_symbol
_atom_site_fract_x
_atom_site_fract_y
_atom_site_fract_z
_atom_site_occupancy
Si1 Si 0.0000 0.0000 0.0000 1
Zr1 Zr 0.0000 0.5000 0.0000 1
Zr2 Zr 0.0000 0.0000 0.5000 1
Zr3 Zr 0.5000 0.0000 0.0000 1
Cd1 Cd 0.5000 0.5000 0.5000 1
```

=====

VASP calculation (PBE-GGA) on Zr2CdSi after structural relaxation.

Values from the calculation:
E_tot   -5.58 eV/atom
DOS(E_F)   1.14 states/eV/atom

The structure in CIF format:
```
data_Zr2CdSi
_cell_length_a 4.8488
_cell_length_b 4.8488
_cell_length_c 4.8488
_cell_angle_alpha 60.00
_cell_angle_beta 60.00
_cell_angle_gamma 60.00
_symmetry_space_group_name_H-M 'P 1'
_symmetry_Int_Tables_number 1
loop_
_symmetry_equiv_pos_as_xyz
'x,y,z'
loop_
_atom_site_label
_atom_site_type_symbol
_atom_site_fract_x
_atom_site_fract_y
_atom_site_fract_z
_atom_site_occupancy
Cd1 Cd 0.5000 0.5000 0.5000 1
Si1 Si 0.7500 0.7500 0.7500 1
Zr1 Zr 0.0000 0.0000 0.0000 1
Zr2 Zr 0.2500 0.2500 0.2500 1
```

=====

VASP calculation (PBE-GGA) on ZrCd4Si after structural relaxation.

Values from the calculation:
E_tot   -2.58 eV/atom
DOS(E_F)   0.89 states/eV/atom

The structure in CIF format:
```
data_ZrCd4Si
_cell_length_a 5.7074
_cell_length_b 5.7074
_cell_length_c 5.7074
_cell_angle_alpha 60.00
_cell_angle_beta 60.00
_cell_angle_gamma 60.00
_symmetry_space_group_name_H-M 'P 1'
_symmetry_Int_Tables_number 1
loop_
_symmetry_equiv_pos_as_xyz
'x,y,z'
loop_
_atom_site_label
_atom_site_type_symbol
_atom_site_fract_x
_atom_site_fract_y
_atom_site_fract_z
_atom_site_occupancy
Zr1 Zr 0.0000 0.0000 0.0000 1
Cd1 Cd 0.8755 0.3748 0.3748 1
Cd2 Cd 0.3748 0.3748 0.8755 1
Cd3 Cd 0.3748 0.8755 0.3748 1
Cd4 Cd 0.3748 0.3748 0.3748 1
Si1 Si 0.7500 0.7500 0.7500 1
```

=====

VASP calculation (PBE-GGA) on Zr2CdSi after structural relaxation.

Values from the calculation:
E_tot   -5.79 eV/atom
DOS(E_F)   1.15 states/eV/atom

The structure in CIF format:
```
data_Zr2CdSi
_cell_length_a 9.9959
_cell_length_b 9.9959
_cell_length_c 9.9959
_cell_angle_alpha 18.13
_cell_angle_beta 18.13
_cell_angle_gamma 18.13
_symmetry_space_group_name_H-M 'P 1'
_symmetry_Int_Tables_number 1
loop_
_symmetry_equiv_pos_as_xyz
'x,y,z'
loop_
_atom_site_label
_atom_site_type_symbol
_atom_site_fract_x
_atom_site_fract_y
_atom_site_fract_z
_atom_site_occupancy
Cd1 Cd 0.4941 0.4941 0.4941 1
Si1 Si 0.7482 0.7482 0.7482 1
Zr1 Zr 0.0072 0.0072 0.0072 1
Zr2 Zr 0.2505 0.2505 0.2505 1
```

=====

VASP calculation (PBE-GGA) on Zr2CdSi after structural relaxation.

Values from the calculation:
E_tot   -5.95 eV/atom
DOS(E_F)   0.81 states/eV/atom

The structure in CIF format:
```
data_Zr2CdSi
_cell_length_a 5.1178
_cell_length_b 5.1178
_cell_length_c 5.7215
_cell_angle_alpha 78.50
_cell_angle_beta 78.50
_cell_angle_gamma 34.71
_symmetry_space_group_name_H-M 'P 1'
_symmetry_Int_Tables_number 1
loop_
_symmetry_equiv_pos_as_xyz
'x,y,z'
loop_
_atom_site_label
_atom_site_type_symbol
_atom_site_fract_x
_atom_site_fract_y
_atom_site_fract_z
_atom_site_occupancy
Cd1 Cd 0.2500 0.2500 0.2500 1
Si1 Si 0.7500 0.7500 0.7500 1
Zr1 Zr 0.0158 0.0158 0.9789 1
Zr2 Zr 0.4842 0.4842 0.5211 1
```

=====

VASP calculation (PBE-GGA) on Zr2CdSi after structural relaxation.

Values from the calculation:
E_tot   -6.23 eV/atom
DOS(E_F)   0.52 states/eV/atom

The structure in CIF format:
```
data_Zr2CdSi
_cell_length_a 3.0500
_cell_length_b 3.0500
_cell_length_c 8.5603
_cell_angle_alpha 90.00
_cell_angle_beta 90.00
_cell_angle_gamma 96.81
_symmetry_space_group_name_H-M 'P 1'
_symmetry_Int_Tables_number 1
loop_
_symmetry_equiv_pos_as_xyz
'x,y,z'
loop_
_atom_site_label
_atom_site_type_symbol
_atom_site_fract_x
_atom_site_fract_y
_atom_site_fract_z
_atom_site_occupancy
Cd1 Cd 0.5000 0.5000 0.2500 1
Si1 Si 0.5000 0.5000 0.7500 1
Zr1 Zr 0.0000 0.0000 0.9671 1
Zr2 Zr 0.0000 0.0000 0.5329 1
```

=====

VASP calculation (PBE-GGA) on Zr2CdSi after structural relaxation.

Values from the calculation:
E_tot   -5.91 eV/atom
DOS(E_F)   0.92 states/eV/atom

The structure in CIF format:
```
data_Zr2CdSi
_cell_length_a 3.2245
_cell_length_b 3.2245
_cell_length_c 8.1594
_cell_angle_alpha 90.00
_cell_angle_beta 90.00
_cell_angle_gamma 100.71
_symmetry_space_group_name_H-M 'P 1'
_symmetry_Int_Tables_number 1
loop_
_symmetry_equiv_pos_as_xyz
'x,y,z'
loop_
_atom_site_label
_atom_site_type_symbol
_atom_site_fract_x
_atom_site_fract_y
_atom_site_fract_z
_atom_site_occupancy
Cd1 Cd 0.0000 0.0000 0.5291 1
Si1 Si 0.5000 0.5000 0.7552 1
Zr1 Zr 0.0000 0.0000 0.9646 1
Zr2 Zr 0.5000 0.5000 0.2511 1
```

=====

VASP calculation (PBE-GGA) on Zr2CdSi after structural relaxation.

Values from the calculation:
E_tot   -6.15 eV/atom
DOS(E_F)   0.58 states/eV/atom

The structure in CIF format:
```
data_Zr2CdSi
_cell_length_a 4.3693
_cell_length_b 4.3682
_cell_length_c 4.1303
_cell_angle_alpha 90.00
_cell_angle_beta 90.00
_cell_angle_gamma 90.00
_symmetry_space_group_name_H-M 'P 1'
_symmetry_Int_Tables_number 1
loop_
_symmetry_equiv_pos_as_xyz
'x,y,z'
loop_
_atom_site_label
_atom_site_type_symbol
_atom_site_fract_x
_atom_site_fract_y
_atom_site_fract_z
_atom_site_occupancy
Cd1 Cd 0.5000 0.0000 0.5000 1
Si1 Si 0.0000 0.5000 0.5000 1
Zr1 Zr 0.0000 0.0000 0.0000 1
Zr2 Zr 0.5000 0.5000 0.0000 1
```

=====

VASP calculation (PBE-GGA) on Zr2CdSi after structural relaxation.

Values from the calculation:
E_tot   -6.22 eV/atom
DOS(E_F)   0.59 states/eV/atom

The structure in CIF format:
```
data_Zr2CdSi
_cell_length_a 3.0428
_cell_length_b 3.0428
_cell_length_c 8.5003
_cell_angle_alpha 90.00
_cell_angle_beta 90.00
_cell_angle_gamma 90.00
_symmetry_space_group_name_H-M 'P 1'
_symmetry_Int_Tables_number 1
loop_
_symmetry_equiv_pos_as_xyz
'x,y,z'
loop_
_atom_site_label
_atom_site_type_symbol
_atom_site_fract_x
_atom_site_fract_y
_atom_site_fract_z
_atom_site_occupancy
Cd1 Cd 0.5000 0.5000 0.2500 1
Si1 Si 0.5000 0.5000 0.7500 1
Zr1 Zr 0.0000 0.0000 0.9673 1
Zr2 Zr 0.0000 0.0000 0.5327 1
```